This record from Alexandria via LeMat-Bulk describes a geometry-optimized CsK2CuAu structure. The functional is PBE-GGA.

Geometry as POSCAR:
```
CsK2CuAu
1.0
6.533 0.000 0.000
0.000 6.533 0.000
0.000 0.000 5.126
Cs K Cu Au
1 2 1 1
Cartesian
0.000 0.000 0.000
0.000 3.267 2.563
3.267 0.000 2.563
3.267 3.267 0.000
3.267 3.267 2.563
```

Output
SG: No. 123
Total magnetization: 0.00 μB per cell
Electronic total energy: -1.981 eV per atom
Offset from the most stable computed form: 0.0 meV/atom


This record from Alexandria via LeMat-Bulk describes a geometry-optimized CeSmYPb structure. The functional is PBE-GGA.

Geometry as POSCAR:
```
CeSmYPb
1.0
0.000 3.883 3.883
3.883 0.000 3.883
3.883 3.883 0.000
Ce Sm Y Pb
1 1 1 1
Cartesian
0.000 0.000 0.000
1.941 1.941 1.941
5.824 5.824 5.824
3.883 3.883 3.883
```

Output
SG: No. 216
Total magnetization: 0.71 μB per cell
Electronic total energy: -5.282 eV per atom